Entry from the Alexandria database: NaCoBr2O after structural relaxation (PBE+U).

Calculated density: 4.1 Mg/m³
Symmetry: P4/mmm, No. 123
Electronic total energy: -3.7700 eV/atom

Unit cell a=5.3826 b=5.3826 c=3.6153 alpha=90.00 beta=90.00 gamma=90.00
Last column: nearest neighbours and their distance in Å.
Fractional coordinates of all 5 atoms:
Na1 0.0000 0.0000 0.0000  8 Br 3.24, 2 Na 3.62
Co1 0.5000 0.5000 0.5000  2 O 1.81
Br1 0.0000 0.5000 0.5000  2 Co 2.69
Br2 0.5000 0.0000 0.5000  2 Co 2.69
O1 0.5000 0.5000 0.0000  2 Co 1.81